LiInOs2: optimized geometry, PBE.

Summary:
volume = 15.8 A^3/atom
uncorrected energy = -25.0 eV per formula unit
formation enthalpy at 0 K = 0.5341 eV per atom

Cell and atoms, written as POSCAR:
```
LiInOs2
1.0
2.554 -4.318 0.000
2.554 4.318 0.000
0.000 0.000 2.858
Li In Os
1 1 2
direct
0.000 0.000 0.000
0.500 0.500 0.000
0.000 0.500 0.500
0.500 0.000 0.500
```